VASP calculation (PBE) on a geometry-optimized SrLi4Sb structure.

Properties
The calculation puts the mass density at 2.82 g/cm³. Its space-group type is F-43m, No. 216. The formation energy without anion corrections comes out at -236 meV per atom.

CIF file:
```
data_SrLi4Sb
_chemical_formula_sum 'Sr1 Li4 Sb1'
_symmetry_space_group_name_H-M 'P 1'
_symmetry_Int_Tables_number 1
_symmetry_space_group_name_Hall 'P 1'
_cell_length_a 5.826
_cell_length_b 5.826
_cell_length_c 5.826
_cell_angle_alpha 60.00
_cell_angle_beta 60.00
_cell_angle_gamma 60.00
loop_
_atom_site_label
_atom_site_fract_x
_atom_site_fract_y
_atom_site_fract_z
_atom_site_occupancy
Sr1 0.000 0.000 0.000 1
Li1 0.128 0.624 0.624 1
Li2 0.624 0.128 0.624 1
Li3 0.624 0.624 0.128 1
Li4 0.624 0.624 0.624 1
Sb1 0.250 0.250 0.250 1
```